[1]
First-principles (PBE) data for a relaxed structure of UPd5Pt, as listed in the Alexandria database.

## Properties
Crystal system: monoclinic
Raw total energy (eV per atom): -6.480
SG: C2/c (15)
Theoretical density (g cm⁻³): 13.43

a b c (Å): 6.861 6.861 5.543
angles (deg): 98.57 98.57 68.45
Fractional positions:
U: 0.226 0.774 0.750
U: 0.774 0.226 0.250
Pd: 0.093 0.276 0.522
Pd: 0.156 0.844 0.250
Pd: 0.276 0.093 0.022
Pd: 0.357 0.423 0.347
Pd: 0.423 0.357 0.847
Pd: 0.577 0.643 0.153
Pd: 0.643 0.577 0.653
Pd: 0.724 0.907 0.978
Pd: 0.844 0.156 0.750
Pd: 0.907 0.724 0.478
Pt: 0.000 0.500 0.000
Pt: 0.500 0.000 0.500

=====

[2]
First-principles (PBE) data for a relaxed structure of Ba2CrSi, as listed in the Alexandria database.

## Properties
Crystal system: cubic
SG: F-43m (216)
Theoretical density (g cm⁻³): 5.07
E_form (uncorrected) (eV per atom): 0.457

a b c (Å): 7.747 7.747 7.747
angles (deg): 90.00 90.00 90.00
Fractional positions:
Ba: 0.000 0.000 0.000
Ba: 0.000 0.500 0.500
Ba: 0.250 0.250 0.250
Ba: 0.250 0.750 0.750
Ba: 0.500 0.000 0.500
Ba: 0.500 0.500 0.000
Ba: 0.750 0.250 0.750
Ba: 0.750 0.750 0.250
Cr: 0.250 0.250 0.750
Cr: 0.250 0.750 0.250
Cr: 0.750 0.250 0.250
Cr: 0.750 0.750 0.750
Si: 0.000 0.000 0.500
Si: 0.000 0.500 0.000
Si: 0.500 0.000 0.000
Si: 0.500 0.500 0.500

=====

Which value of theoretical density does entry 2 give?
5.07 g cm⁻³

=====

What is the theoretical density in the first record?
13.43 g cm⁻³